VASP calculation (PBE) on crystalline CsBa2Li2P2 at its relaxed geometry.

a b c (Å): 4.537 4.537 14.247
angles (deg): 80.84 80.84 60.00
Positions (direct):
P  0.735  0.735  0.794
P  0.265  0.265  0.206
Cs  0.000  0.000  0.000
Ba  0.889  0.889  0.333
Ba  0.111  0.111  0.667
Li  0.394  0.394  0.819
Li  0.606  0.606  0.181

Calculated density ... 3.22 g cm⁻³

VASP calculation (PBE) on crystalline CsBaLiPb at its relaxed geometry.

a b c (Å): 5.960 5.960 5.960
angles (deg): 60.00 60.00 60.00
Positions (direct):
Ba  0.250  0.250  0.250
Pb  0.000  0.000  0.000
Cs  0.500  0.500  0.500
Li  0.750  0.750  0.750

Calculated density ... 5.37 g cm⁻³

no.,ΔH_f (0 K) (eV per atom),density of states at the Fermi level (states/eV/atom),total energy (eV for the cell shown)
1,-0.636,0.2771,-23.8
2,-0.187,0.0202,-9.1